No. 1
An optimized crystal structure of Tl12Hg7Pd. Source: Alexandria, functional GGA-PBE.

Cell lengths 10.148, 8.710, 8.710 Å; angles 74.11, 67.15, 112.85 degrees
Fractional positions:
Tl (0.544, 0.266, 0.233)
Tl (0.278, 0.501, 0.266)
Tl (0.072, 0.728, 0.211)
Tl (0.284, 0.211, 0.060)
Tl (0.777, 0.233, 0.501)
Tl (0.656, 0.940, 0.272)
Tl (0.716, 0.789, 0.940)
Tl (0.223, 0.767, 0.499)
Tl (0.344, 0.060, 0.728)
Tl (0.456, 0.734, 0.767)
Tl (0.928, 0.272, 0.789)
Tl (0.722, 0.499, 0.734)
Pd (0.000, 0.000, 0.000)
Hg (0.683, 0.572, 0.357)
Hg (0.317, 0.428, 0.643)
Hg (0.040, 0.357, 0.072)
Hg (0.889, 0.928, 0.428)
Hg (0.500, 0.000, 0.000)
Hg (0.111, 0.072, 0.572)
Hg (0.960, 0.643, 0.928)

As for the space group: R-3. The density is 11.62 g cm⁻³. As for the formation enthalpy at 0 K: 7 meV/atom. For the total energy, the calculation gives -1.78 eV/atom. The calculated volume is 28.31 Å³ per atom.

***

No. 2
An optimized crystal structure of Tl6HgPd2. Source: Alexandria, functional GGA-PBE.

Cell lengths 4.577, 7.682, 7.710 Å; angles 119.88, 90.00, 90.00 degrees
Fractional positions:
Pd (0.000, 0.666, 0.333)
Pd (0.000, 0.332, 0.667)
Tl (0.500, 0.579, 0.000)
Tl (0.500, 0.003, 0.581)
Tl (0.000, 0.727, 0.727)
Tl (0.000, 0.000, 0.273)
Tl (0.000, 0.273, 0.000)
Tl (0.500, 0.422, 0.419)
Hg (0.500, 0.999, 0.000)

As for the space group: Amm2. The density is 11.58 g cm⁻³. As for the formation enthalpy at 0 K: 18 meV/atom. For the total energy, the calculation gives -2.75 eV/atom. The calculated volume is 26.11 Å³ per atom.

***

No. 3
An optimized crystal structure of TlHg2Pd. Source: Alexandria, functional GGA-PBE.

Cell lengths 4.217, 4.217, 11.071 Å; angles 79.02, 79.02, 90.00 degrees
Fractional positions:
Tl (0.750, 0.250, 0.500)
Tl (0.000, 0.000, 0.000)
Hg (0.875, 0.860, 0.750)
Hg (0.140, 0.625, 0.250)
Hg (0.610, 0.125, 0.250)
Hg (0.375, 0.390, 0.750)
Pd (0.250, 0.750, 0.500)
Pd (0.500, 0.500, 0.000)

As for the space group: I-42d. The density is 12.47 g cm⁻³. As for the formation enthalpy at 0 K: 57 meV/atom. For the total energy, the calculation gives -1.98 eV/atom. The calculated volume is 23.70 Å³ per atom.

***

No. 4
An optimized crystal structure of Tl2HgPd6. Source: Alexandria, functional GGA-PBE.

Cell lengths 3.018, 7.833, 7.833 Å; angles 120.00, 90.00, 90.00 degrees
Fractional positions:
Pd (0.000, 0.301, 0.301)
Pd (0.000, 0.699, 0.000)
Pd (0.500, 0.000, 0.365)
Pd (0.000, 0.000, 0.699)
Pd (0.500, 0.365, 0.000)
Pd (0.500, 0.635, 0.635)
Tl (0.000, 0.333, 0.667)
Tl (0.000, 0.667, 0.333)
Hg (0.500, 0.000, 0.000)

As for the space group: P-62m. The density is 12.92 g cm⁻³. As for the formation enthalpy at 0 K: -114 meV/atom. For the total energy, the calculation gives -4.13 eV/atom. The calculated volume is 17.82 Å³ per atom. As for the offset from the most stable computed form: 0.0000 eV per atom.

***

No. 5
An optimized crystal structure of Tl3HgPd12. Source: Alexandria, functional GGA-PBE.

Cell lengths 4.099, 4.099, 16.118 Å; angles 90.00, 90.00, 90.00 degrees
Fractional positions:
Pd (0.500, 0.000, 0.374)
Pd (0.500, 0.000, 0.876)
Pd (0.000, 0.500, 0.374)
Pd (0.000, 0.500, 0.124)
Pd (0.500, 0.500, 0.249)
Pd (0.500, 0.500, 0.500)
Pd (0.000, 0.500, 0.626)
Pd (0.500, 0.500, 0.751)
Pd (0.500, 0.000, 0.626)
Pd (0.500, 0.000, 0.124)
Pd (0.500, 0.500, 0.000)
Pd (0.000, 0.500, 0.876)
Tl (0.000, 0.000, 0.500)
Tl (0.000, 0.000, 0.751)
Tl (0.000, 0.000, 0.249)
Hg (0.000, 0.000, 0.000)

As for the space group: P4/mmm. The density is 12.82 g cm⁻³. As for the formation enthalpy at 0 K: -163 meV/atom. For the total energy, the calculation gives -4.52 eV/atom. The calculated volume is 16.93 Å³ per atom.

***

No. 6
An optimized crystal structure of Tl2HgPd4. Source: Alexandria, functional GGA-PBE.

Cell lengths 4.535, 10.566, 11.409 Å; angles 90.00, 90.00, 90.00 degrees
Fractional positions:
Hg (0.250, 0.218, 0.834)
Hg (0.750, 0.782, 0.166)
Hg (0.750, 0.282, 0.334)
Hg (0.250, 0.718, 0.666)
Pd (0.750, 0.570, 0.661)
Pd (0.750, 0.070, 0.839)
Pd (0.750, 0.014, 0.323)
Pd (0.250, 0.986, 0.677)
Pd (0.250, 0.930, 0.161)
Pd (0.750, 0.329, 0.959)
Pd (0.750, 0.514, 0.177)
Pd (0.750, 0.820, 0.781)
Pd (0.250, 0.430, 0.339)
Pd (0.750, 0.320, 0.719)
Pd (0.250, 0.671, 0.041)
Pd (0.250, 0.171, 0.459)
Pd (0.250, 0.180, 0.219)
Pd (0.250, 0.486, 0.823)
Pd (0.750, 0.829, 0.541)
Pd (0.250, 0.680, 0.281)
Tl (0.250, 0.901, 0.416)
Tl (0.750, 0.099, 0.584)
Tl (0.750, 0.599, 0.916)
Tl (0.750, 0.597, 0.415)
Tl (0.250, 0.903, 0.915)
Tl (0.750, 0.097, 0.085)
Tl (0.250, 0.401, 0.084)
Tl (0.250, 0.403, 0.585)

As for the space group: Pnma. The density is 12.58 g cm⁻³. As for the formation enthalpy at 0 K: -145 meV/atom. For the total energy, the calculation gives -3.83 eV/atom. The calculated volume is 19.52 Å³ per atom. As for the offset from the most stable computed form: 0.0000 eV per atom.